VASP calculation (PBE) on a relaxed Tl2MoW crystal.

Computed properties:
Formation energy from the elements (eV per formula unit): 4.7
Offset from the most stable computed form (eV/f.u.): 2.56
Total DFT energy (no corrections) (Ha/atom): -0.219
Crystal system: cubic

abc: 6.7175 6.7175 6.7175
angles: 90.00 90.00 90.00
Space group Fm-3m (No. 225)
Inequivalent atoms, fractional coordinates:
Tl: 0.2500 0.2500 0.2500 [8 per cell]
Mo: 0.0000 0.0000 0.0000 [4 per cell]
W: 0.0000 0.0000 0.5000 [4 per cell]

VASP calculation (PBE) on a relaxed TlMo2W crystal.

Computed properties:
Formation energy from the elements (eV per formula unit): 2.3
Offset from the most stable computed form (eV/f.u.): 0.57
Total DFT energy (no corrections) (Ha/atom): -0.318
Crystal system: monoclinic

abc: 2.8982 4.3135 5.8002
angles: 90.00 96.00 90.00
Space group Pm (No. 6)
Inequivalent atoms, fractional coordinates:
Tl: 0.0000 0.0000 0.0000 [1 per cell]
Mo: 0.0067 0.0000 0.5015 [1 per cell]
Mo: 0.4126 0.5000 0.7106 [1 per cell]
W: 0.5995 0.5000 0.2974 [1 per cell]

VASP calculation (PBE) on a relaxed TlMo2W crystal.

Computed properties:
Formation energy from the elements (eV per formula unit): 2.5
Offset from the most stable computed form (eV/f.u.): 0.70
Total DFT energy (no corrections) (Ha/atom): -0.317
Crystal system: monoclinic

abc: 10.1741 3.3307 4.6095
angles: 90.00 116.77 90.00
Space group C2/m (No. 12)
Inequivalent atoms, fractional coordinates:
Tl: 0.0000 0.0000 0.0000 [2 per cell]
Mo: 0.2338 0.0000 0.7332 [4 per cell]
W: 0.0000 0.5000 0.5000 [2 per cell]

VASP calculation (PBE) on a relaxed Tl2MoW crystal.

Computed properties:
Formation energy from the elements (eV per formula unit): 4.3
Offset from the most stable computed form (eV/f.u.): 2.08
Total DFT energy (no corrections) (Ha/atom): -0.223
Crystal system: tetragonal

abc: 4.2261 4.2261 8.6240
angles: 90.00 90.00 90.00
Space group I-4m2 (No. 119)
Inequivalent atoms, fractional coordinates:
Tl: 0.0000 0.0000 0.0000 [2 per cell]
Tl: 0.0000 0.5000 0.2500 [2 per cell]
Mo: 0.0000 0.0000 0.5000 [2 per cell]
W: 0.0000 0.5000 0.7500 [2 per cell]